(1)
Material: IrRh3Br
Method: DFT, PBE-GGA
State: optimized geometry

a b c (Å): 4.5261 4.5261 4.5261
angles (deg): 90.00 90.00 90.00
Closest atoms and distances in Å follow each position.
Space group Pm-3m (No. 221)
Symmetry-distinct sites (fractional):
Ir 0.0000 0.0000 0.0000 [1 per cell]  12 Rh 3.20
Rh 0.0000 0.5000 0.5000 [3 per cell]  2 Br 2.26
Br 0.5000 0.5000 0.5000 [1 per cell]  6 Rh 2.26

## Properties
The value obtained for the total magnetic moment is 2.087 μB/f.u. The density of states at the Fermi level comes out at 7.8 states/eV per cell. As for the uncorrected formation energy: 1.492 eV per atom. For the energy relative to the lowest polymorph listed for this composition, the calculation gives 149 meV/atom.

---

(2)
Material: IrRhBr2
Method: DFT, PBE-GGA
State: optimized geometry

a b c (Å): 3.8428 3.8428 22.3909
angles (deg): 90.00 90.00 120.00
Closest atoms and distances in Å follow each position.
Space group R3m (No. 160, hexagonal axes)
Symmetry-distinct sites (fractional):
Ir 0.0000 0.0000 0.0000 [3 per cell]  3 Rh 2.49, 3 Br 2.62
Rh 0.0000 0.0000 0.7171 [3 per cell]  3 Ir 2.49, 3 Br 2.66
Br 0.0000 0.0000 0.2711 [3 per cell]  3 Ir 2.62
Br 0.0000 0.0000 0.4491 [3 per cell]  3 Rh 2.66

## Properties
The value obtained for the total magnetic moment is 0.000 μB/f.u. The density of states at the Fermi level comes out at 12.9 states/eV per cell. As for the uncorrected formation energy: 0.182 eV per atom. For the energy relative to the lowest polymorph listed for this composition, the calculation gives 0 meV/atom.

---

(3)
Material: IrRhBr2
Method: DFT, PBE-GGA
State: optimized geometry

a b c (Å): 3.0142 5.6831 8.6627
angles (deg): 90.00 90.00 90.00
Closest atoms and distances in Å follow each position.
Space group Immm (No. 71)
Symmetry-distinct sites (fractional):
Ir 0.0000 0.0000 0.0000 [2 per cell]  4 Br 2.59
Rh 0.0000 0.0000 0.5000 [2 per cell]  4 Br 2.69, 2 Rh 3.01
Br 0.0000 0.5000 0.2575 [4 per cell]  2 Ir 2.59, 2 Rh 2.69

## Properties
The value obtained for the total magnetic moment is 0.001 μB/f.u. The density of states at the Fermi level comes out at 9.4 states/eV per cell. As for the uncorrected formation energy: 0.867 eV per atom. For the energy relative to the lowest polymorph listed for this composition, the calculation gives 685 meV/atom.

---

(4)
Material: IrRu2RhBr
Method: DFT, PBE-GGA
State: optimized geometry

a b c (Å): 4.4981 4.4981 4.5807
angles (deg): 90.00 90.00 90.00
Closest atoms and distances in Å follow each position.
Space group P4/mmm (No. 123)
Symmetry-distinct sites (fractional):
Ir 0.0000 0.0000 0.0000 [1 per cell]  2 Br 2.29
Ru 0.0000 0.5000 0.5000 [2 per cell]  2 Br 2.25
Rh 0.5000 0.5000 0.0000 [1 per cell]  4 Ir 3.18, 8 Ru 3.21
Br 0.0000 0.0000 0.5000 [1 per cell]  4 Ru 2.25, 2 Ir 2.29

## Properties
The value obtained for the total magnetic moment is 3.005 μB/f.u. The density of states at the Fermi level comes out at 7.3 states/eV per cell. As for the uncorrected formation energy: 1.824 eV per atom.